# LaMn2Fe | Alexandria | PBE | optimized geometry
data_LaMn2Fe
_chemical_formula_sum 'La3 Mn6 Fe3'
_symmetry_space_group_name_H-M 'R -3 m'
_symmetry_Int_Tables_number 166
_symmetry_space_group_name_Hall '-R 3 2"'
_cell_length_a 3.0204
_cell_length_b 3.0204
_cell_length_c 27.3156
_cell_angle_alpha 90.00
_cell_angle_beta 90.00
_cell_angle_gamma 120.00
loop_
_atom_site_label
_atom_site_fract_x
_atom_site_fract_y
_atom_site_fract_z
La1 0.0000 0.0000 0.0000
Mn1 0.0000 0.0000 0.2331
Fe1 0.0000 0.0000 0.5000
# energy of formation from the pure elements	0.71	eV per atom
# energy above the most stable polymorph in this dataset	506	meV per atom
# size of the total moment	2.166	μB per atom



# BaHf2Tc | Alexandria | PBE | optimized geometry
data_BaHf2Tc
_chemical_formula_sum 'Ba4 Hf8 Tc4'
_symmetry_space_group_name_H-M 'F m -3 m'
_symmetry_Int_Tables_number 225
_symmetry_space_group_name_Hall '-F 4 2 3'
_cell_length_a 7.0795
_cell_length_b 7.0795
_cell_length_c 7.0795
_cell_angle_alpha 90.00
_cell_angle_beta 90.00
_cell_angle_gamma 90.00
loop_
_atom_site_label
_atom_site_fract_x
_atom_site_fract_y
_atom_site_fract_z
Ba1 0.0000 0.0000 0.0000
Hf1 0.2500 0.2500 0.2500
Tc1 0.0000 0.0000 0.5000
# energy of formation from the pure elements	0.70	eV per atom
# energy above the most stable polymorph in this dataset	0	meV per atom
# size of the total moment	0.000	μB per atom



# Ga2OsBr | Alexandria | PBE | optimized geometry
data_Ga2OsBr
_chemical_formula_sum 'Ga8 Os4 Br4'
_symmetry_space_group_name_H-M 'I -4 2 d'
_symmetry_Int_Tables_number 122
_symmetry_space_group_name_Hall 'I -4 2bw'
_cell_length_a 6.0811
_cell_length_b 6.0811
_cell_length_c 11.8988
_cell_angle_alpha 90.00
_cell_angle_beta 90.00
_cell_angle_gamma 90.00
loop_
_atom_site_label
_atom_site_fract_x
_atom_site_fract_y
_atom_site_fract_z
Ga1 0.1816 0.2500 0.1250
Os1 0.0000 0.0000 0.0000
Br1 0.0000 0.0000 0.5000
# energy above the most stable polymorph in this dataset	0	meV per atom
# size of the total moment	0.000	μB per atom
# uncorrected formation energy	492	meV/atom



# CaZn4GaAg2 | Alexandria | PBE | optimized geometry
data_CaZn4GaAg2
_chemical_formula_sum 'Ca3 Zn12 Ga3 Ag6'
_symmetry_space_group_name_H-M 'R -3 m'
_symmetry_Int_Tables_number 166
_symmetry_space_group_name_Hall '-R 3 2"'
_cell_length_a 4.4389
_cell_length_b 4.4389
_cell_length_c 27.0467
_cell_angle_alpha 90.00
_cell_angle_beta 90.00
_cell_angle_gamma 120.00
loop_
_atom_site_label
_atom_site_fract_x
_atom_site_fract_y
_atom_site_fract_z
Ca1 0.0000 0.0000 0.0000
Zn1 0.0000 0.0000 0.1242
Zn2 0.0000 0.0000 0.3999
Ga1 0.0000 0.0000 0.5000
Ag1 0.0000 0.0000 0.2469
# energy of formation from the pure elements	-0.08	eV per atom
# size of the total moment	0.000	μB per atom



# RbInCl3 | Alexandria | PBE | optimized geometry
data_RbInCl3
_chemical_formula_sum 'Rb4 In4 Cl12'
_symmetry_space_group_name_H-M 'C 1 2/m 1'
_symmetry_Int_Tables_number 12
_cell_length_a 17.8274
_cell_length_b 4.1427
_cell_length_c 8.7617
_cell_angle_alpha 90.00
_cell_angle_beta 106.20
_cell_angle_gamma 90.00
loop_
_symmetry_equiv_pos_as_xyz
'x,y,z'
'-x,-y,-z'
'-x,y,-z'
'x,-y,z'
'x+1/2,y+1/2,z'
'-x+1/2,-y+1/2,-z'
'-x+1/2,y+1/2,-z'
'x+1/2,-y+1/2,z'
loop_
_atom_site_label
_atom_site_fract_x
_atom_site_fract_y
_atom_site_fract_z
Rb1 0.1897 0.0000 0.2188
In1 0.0561 0.5000 0.6548
Cl1 0.0061 0.0000 0.2241
Cl2 0.1551 0.0000 0.5842
Cl3 0.1570 0.5000 0.9169
# size of the total moment	0.000	μB per atom
# uncorrected formation energy	-1366	meV/atom



# Re2AgSb | Alexandria | PBE | optimized geometry
data_Re2AgSb
_chemical_formula_sum 'Re4 Ag2 Sb2'
_symmetry_space_group_name_H-M 'I 4/m m m'
_symmetry_Int_Tables_number 139
_symmetry_space_group_name_Hall '-I 4 2'
_cell_length_a 4.0356
_cell_length_b 4.0356
_cell_length_c 8.3280
_cell_angle_alpha 90.00
_cell_angle_beta 90.00
_cell_angle_gamma 90.00
loop_
_atom_site_label
_atom_site_fract_x
_atom_site_fract_y
_atom_site_fract_z
Re1 0.0000 0.5000 0.2500
Ag1 0.0000 0.0000 0.0000
Sb1 0.0000 0.0000 0.5000
# size of the total moment	0.000	μB per atom
# uncorrected formation energy	936	meV/atom



# Fe2CuPdN | Alexandria | PBE | optimized geometry
data_Fe2CuPdN
_chemical_formula_sum 'Fe2 Cu1 Pd1 N1'
_symmetry_space_group_name_H-M 'P 4/m m m'
_symmetry_Int_Tables_number 123
_symmetry_space_group_name_Hall '-P 4 2'
_cell_length_a 3.8229
_cell_length_b 3.8229
_cell_length_c 3.9775
_cell_angle_alpha 90.00
_cell_angle_beta 90.00
_cell_angle_gamma 90.00
loop_
_atom_site_label
_atom_site_fract_x
_atom_site_fract_y
_atom_site_fract_z
Fe1 0.0000 0.5000 0.0000
Cu1 0.0000 0.0000 0.5000
Pd1 0.5000 0.5000 0.5000
N1 0.0000 0.0000 0.0000
# energy above the most stable polymorph in this dataset	0	meV per atom
# size of the total moment	1.091	μB per atom
# uncorrected formation energy	-22	meV/atom



# Ta2NiAu | Alexandria | PBE | optimized geometry
data_Ta2NiAu
_chemical_formula_sum 'Ta2 Ni1 Au1'
_symmetry_space_group_name_H-M 'P 4 m m'
_symmetry_Int_Tables_number 99
_cell_length_a 3.2770
_cell_length_b 3.2770
_cell_length_c 6.0747
_cell_angle_alpha 90.00
_cell_angle_beta 90.00
_cell_angle_gamma 90.00
loop_
_symmetry_equiv_pos_as_xyz
'x,y,z'
'-y,x,z'
'-x,-y,z'
'y,-x,z'
'-x,y,z'
'y,x,z'
'x,-y,z'
'-y,-x,z'
loop_
_atom_site_label
_atom_site_fract_x
_atom_site_fract_y
_atom_site_fract_z
Ta1 0.0000 0.0000 0.0000
Ta2 0.5000 0.5000 0.2880
Ni1 0.5000 0.5000 0.7939
Au1 0.0000 0.0000 0.5463
# energy of formation from the pure elements	-0.14	eV per atom
# energy above the most stable polymorph in this dataset	0	meV per atom
# size of the total moment	0.000	μB per atom



# BaYAg2Cl | Alexandria | PBE | optimized geometry
data_BaYAg2Cl
_chemical_formula_sum 'Ba1 Y1 Ag2 Cl1'
_symmetry_space_group_name_H-M 'P 4/m m m'
_symmetry_Int_Tables_number 123
_symmetry_space_group_name_Hall '-P 4 2'
_cell_length_a 5.4541
_cell_length_b 5.4541
_cell_length_c 5.6137
_cell_angle_alpha 90.00
_cell_angle_beta 90.00
_cell_angle_gamma 90.00
loop_
_atom_site_label
_atom_site_fract_x
_atom_site_fract_y
_atom_site_fract_z
Ba1 0.0000 0.0000 0.0000
Y1 0.5000 0.5000 0.0000
Ag1 0.0000 0.5000 0.5000
Cl1 0.0000 0.0000 0.5000
# size of the total moment	0.001	μB per atom
# uncorrected formation energy	160	meV/atom



# NaSrMg2 | Alexandria | PBE | optimized geometry
data_NaSrMg2
_chemical_formula_sum 'Na4 Sr4 Mg8'
_symmetry_space_group_name_H-M 'F m -3 m'
_symmetry_Int_Tables_number 225
_symmetry_space_group_name_Hall '-F 4 2 3'
_cell_length_a 8.1181
_cell_length_b 8.1181
_cell_length_c 8.1181
_cell_angle_alpha 90.00
_cell_angle_beta 90.00
_cell_angle_gamma 90.00
loop_
_atom_site_label
_atom_site_fract_x
_atom_site_fract_y
_atom_site_fract_z
Na1 0.0000 0.0000 0.0000
Sr1 0.0000 0.0000 0.5000
Mg1 0.2500 0.2500 0.2500
# energy of formation from the pure elements	0.08	eV per atom
# energy above the most stable polymorph in this dataset	32	meV per atom
# size of the total moment	0.000	μB per atom



# LiSm4Au5 | Alexandria | PBE | optimized geometry
data_LiSm4Au5
_chemical_formula_sum 'Li1 Sm4 Au5'
_symmetry_space_group_name_H-M 'P 4/m m m'
_symmetry_Int_Tables_number 123
_symmetry_space_group_name_Hall '-P 4 2'
_cell_length_a 3.6208
_cell_length_b 3.6208
_cell_length_c 17.6841
_cell_angle_alpha 90.00
_cell_angle_beta 90.00
_cell_angle_gamma 90.00
loop_
_atom_site_label
_atom_site_fract_x
_atom_site_fract_y
_atom_site_fract_z
Li1 0.0000 0.0000 0.0000
Sm1 0.0000 0.0000 0.1814
Sm2 0.0000 0.0000 0.3944
Au1 0.5000 0.5000 0.0806
Au2 0.5000 0.5000 0.2890
Au3 0.5000 0.5000 0.5000
# energy of formation from the pure elements	-0.74	eV per atom
# size of the total moment	0.000	μB per atom



# CaCuPt3 | Alexandria | PBE | optimized geometry
data_CaCuPt3
_chemical_formula_sum 'Ca1 Cu1 Pt3'
_symmetry_space_group_name_H-M 'P m -3 m'
_symmetry_Int_Tables_number 221
_symmetry_space_group_name_Hall '-P 4 2 3'
_cell_length_a 4.9275
_cell_length_b 4.9275
_cell_length_c 4.9275
_cell_angle_alpha 90.00
_cell_angle_beta 90.00
_cell_angle_gamma 90.00
loop_
_atom_site_label
_atom_site_fract_x
_atom_site_fract_y
_atom_site_fract_z
Ca1 0.0000 0.0000 0.0000
Cu1 0.5000 0.5000 0.5000
Pt1 0.0000 0.0000 0.5000
# energy of formation from the pure elements	1.39	eV per atom
# energy above the most stable polymorph in this dataset	1309	meV per atom
# size of the total moment	0.000	μB per atom



Values for density, g/cm³, ordered as above
7.03; 11.09; 6.18; 6.34; 3.28; 14.74; 8.45; 15.72; 4.75; 1.98; 11.41; 9.56
Values for VASP energy, eV per cell, ordered as above
-86.67; -117.51; -67.96; -49.30; -64.31; -56.25; -34.65; -33.34; -15.14; -23.42; -44.54; -17.26